# NaSbO3, optimized geometry, DFT PBEsol
data_NaSbO3
_chemical_formula_sum 'Na6 Sb6 O18'
_cell_length_a 7.886
_cell_length_b 8.111
_cell_length_c 8.262
_cell_angle_alpha 110.32
_cell_angle_beta 108.86
_cell_angle_gamma 107.78
_symmetry_space_group_name_H-M 'P -1'
_symmetry_Int_Tables_number 2
loop_
_symmetry_equiv_pos_as_xyz
'x,y,z'
'-x,-y,-z'
loop_
_atom_site_label
_atom_site_type_symbol
_atom_site_fract_x
_atom_site_fract_y
_atom_site_fract_z
_atom_site_occupancy
Na1 Na 0.000 0.000 0.000 1
Na2 Na 0.004 0.509 0.328 1
Na3 Na 0.330 0.848 0.298 1
Na4 Na 0.500 0.500 0.000 1
Sb1 Sb 0.163 0.003 0.662 1
Sb2 Sb 0.340 0.342 0.502 1
Sb3 Sb 0.497 0.164 0.156 1
O1 O 0.015 0.864 0.365 1
O2 O 0.040 0.226 0.347 1
O3 O 0.281 0.171 0.950 1
O4 O 0.305 0.841 0.622 1
O5 O 0.316 0.123 0.274 1
O6 O 0.333 0.546 0.723 1
O7 O 0.354 0.863 0.000 1
O8 O 0.357 0.513 0.375 1
O9 O 0.386 0.213 0.665 1
# Raw total energy in eV for the cell shown: -178.44
# Total magnetic moment in μB per formula unit: 0.00
# Raw formation energy in eV per atom: -1.6070

=====

# Na2Sb4O11, optimized geometry, DFT PBEsol
data_Na2Sb4O11
_chemical_formula_sum 'Na12 Sb24 O66'
_cell_length_a 6.2600
_cell_length_b 6.2600
_cell_length_c 35.7804
_cell_angle_alpha 90.00
_cell_angle_beta 90.00
_cell_angle_gamma 120.00
_symmetry_space_group_name_H-M 'R -3 c'
_symmetry_Int_Tables_number 167
_symmetry_space_group_name_Hall '-R 3 2"c'
loop_
_atom_site_label
_atom_site_type_symbol
_atom_site_fract_x
_atom_site_fract_y
_atom_site_fract_z
_atom_site_occupancy
Na1 Na 0.0000 0.0000 0.1680 1
Sb1 Sb 0.0000 0.0000 0.0000 1
Sb2 Sb 0.0000 0.3608 0.2500 1
O1 O 0.0000 0.0000 0.0942 1
O2 O 0.0000 0.2594 0.7500 1
O3 O 0.0214 0.2860 0.5288 1
# Raw total energy in eV for the cell shown: -628.46
# Excess energy over the best structure of this formula in the dataset in meV per atom: 0.0
# Total magnetic moment in μB per formula unit: 0.00
# Raw formation energy in eV per atom: -1.5278

=====

# NaSb5O8, optimized geometry, DFT PBEsol
data_NaSb5O8
_chemical_formula_sum 'Na2 Sb10 O16'
_cell_length_a 7.067
_cell_length_b 7.300
_cell_length_c 9.699
_cell_angle_alpha 73.22
_cell_angle_beta 73.27
_cell_angle_gamma 84.02
_symmetry_space_group_name_H-M 'P -1'
_symmetry_Int_Tables_number 2
loop_
_symmetry_equiv_pos_as_xyz
'x,y,z'
'-x,-y,-z'
loop_
_atom_site_label
_atom_site_type_symbol
_atom_site_fract_x
_atom_site_fract_y
_atom_site_fract_z
_atom_site_occupancy
Na1 Na 0.244 0.070 0.036 1
Sb1 Sb 0.042 0.800 0.650 1
Sb2 Sb 0.115 0.258 0.659 1
Sb3 Sb 0.249 0.566 0.030 1
Sb4 Sb 0.454 0.674 0.276 1
Sb5 Sb 0.467 0.107 0.326 1
O1 O 0.082 0.976 0.763 1
O2 O 0.155 0.710 0.195 1
O3 O 0.176 0.038 0.428 1
O4 O 0.189 0.310 0.173 1
O5 O 0.240 0.326 0.794 1
O6 O 0.441 0.147 0.559 1
O7 O 0.465 0.953 0.178 1
O8 O 0.499 0.393 0.923 1
# Raw total energy in eV for the cell shown: -171.61
# Total magnetic moment in μB per formula unit: 0.00
# Raw formation energy in eV per atom: -1.4016

=====

# NaSbTe2O, optimized geometry, DFT PBEsol
data_NaSbTe2O
_chemical_formula_sum 'Na1 Sb1 Te2 O1'
_cell_length_a 5.488
_cell_length_b 5.488
_cell_length_c 4.015
_cell_angle_alpha 90.00
_cell_angle_beta 90.00
_cell_angle_gamma 90.00
_symmetry_space_group_name_H-M 'P 4/m m m'
_symmetry_Int_Tables_number 123
_symmetry_space_group_name_Hall '-P 4 2'
loop_
_atom_site_label
_atom_site_type_symbol
_atom_site_fract_x
_atom_site_fract_y
_atom_site_fract_z
_atom_site_occupancy
Na1 Na 0.000 0.000 0.000 1
Sb1 Sb 0.500 0.500 0.500 1
Te1 Te 0.000 0.500 0.000 1
O1 O 0.000 0.000 0.500 1
# Raw total energy in eV for the cell shown: -16.34
# Total magnetic moment in μB per formula unit: 1.45
# Raw formation energy in eV per atom: 0.3835

=====

# NaSc2O, optimized geometry, DFT PBEsol
data_NaSc2O
_chemical_formula_sum 'Na4 Sc8 O4'
_cell_length_a 6.495
_cell_length_b 6.495
_cell_length_c 8.848
_cell_angle_alpha 90.00
_cell_angle_beta 90.00
_cell_angle_gamma 90.00
_symmetry_space_group_name_H-M 'I -4 2 d'
_symmetry_Int_Tables_number 122
_symmetry_space_group_name_Hall 'I -4 2bw'
loop_
_atom_site_label
_atom_site_type_symbol
_atom_site_fract_x
_atom_site_fract_y
_atom_site_fract_z
_atom_site_occupancy
Na1 Na 0.000 0.000 0.000 1
Sc1 Sc 0.081 0.250 0.625 1
O1 O 0.000 0.000 0.500 1
# Raw total energy in eV for the cell shown: -97.61
# Total magnetic moment in μB per formula unit: 0.94
# Raw formation energy in eV per atom: -1.1357

=====

# Na3ScSi2O7, optimized geometry, DFT PBEsol
data_Na3ScSi2O7
_chemical_formula_sum 'Na12 Sc4 Si8 O28'
_cell_length_a 9.361
_cell_length_b 13.090
_cell_length_c 5.355
_cell_angle_alpha 90.00
_cell_angle_beta 90.00
_cell_angle_gamma 90.00
_symmetry_space_group_name_H-M 'P n m a'
_symmetry_Int_Tables_number 62
loop_
_symmetry_equiv_pos_as_xyz
'x,y,z'
'-x,-y,-z'
'-x+1/2,-y,z+1/2'
'x+1/2,y,-z+1/2'
'x+1/2,-y+1/2,-z+1/2'
'-x+1/2,y+1/2,z+1/2'
'-x,y+1/2,-z'
'x,-y+1/2,z'
loop_
_atom_site_label
_atom_site_type_symbol
_atom_site_fract_x
_atom_site_fract_y
_atom_site_fract_z
_atom_site_occupancy
Na1 Na 0.019 0.250 0.016 1
Na2 Na 0.154 0.593 0.520 1
Sc1 Sc 0.000 0.000 0.000 1
Si1 Si 0.176 0.131 0.513 1
O1 O 0.090 0.058 0.319 1
O2 O 0.124 0.250 0.439 1
O3 O 0.129 0.107 0.800 1
O4 O 0.153 0.620 0.972 1
# Raw total energy in eV for the cell shown: -375.18
# Total magnetic moment in μB per formula unit: 0.00
# Raw formation energy in eV per atom: -2.6733

=====

# NaScTiO4, optimized geometry, DFT PBEsol
data_NaScTiO4
_chemical_formula_sum 'Na4 Sc4 Ti4 O16'
_cell_length_a 3.034
_cell_length_b 10.882
_cell_length_c 9.280
_cell_angle_alpha 90.00
_cell_angle_beta 90.00
_cell_angle_gamma 90.00
_symmetry_space_group_name_H-M 'P m c 21'
_symmetry_Int_Tables_number 26
loop_
_symmetry_equiv_pos_as_xyz
'x,y,z'
'-x,-y,z+1/2'
'-x,y,z'
'x,-y,z+1/2'
loop_
_atom_site_label
_atom_site_type_symbol
_atom_site_fract_x
_atom_site_fract_y
_atom_site_fract_z
_atom_site_occupancy
Na1 Na 0.000 0.098 0.000 1
Na2 Na 0.500 0.400 0.489 1
Sc1 Sc 0.500 0.148 0.318 1
Sc2 Sc 0.500 0.357 0.817 1
Ti1 Ti 0.000 0.136 0.678 1
Ti2 Ti 0.000 0.360 0.160 1
O1 O 0.000 0.033 0.252 1
O2 O 0.000 0.278 0.346 1
O3 O 0.000 0.311 0.669 1
O4 O 0.000 0.410 0.957 1
O5 O 0.500 0.103 0.542 1
O6 O 0.500 0.165 0.816 1
O7 O 0.500 0.244 0.116 1
O8 O 0.500 0.467 0.212 1
# Raw total energy in eV for the cell shown: -233.12
# Total magnetic moment in μB per formula unit: 0.00
# Raw formation energy in eV per atom: -2.9935

=====

# NaZrScO4, optimized geometry, DFT PBEsol
data_NaZrScO4
_chemical_formula_sum 'Na4 Zr4 Sc4 O16'
_cell_length_a 3.183
_cell_length_b 11.194
_cell_length_c 9.497
_cell_angle_alpha 90.00
_cell_angle_beta 90.00
_cell_angle_gamma 90.00
_symmetry_space_group_name_H-M 'P m c 21'
_symmetry_Int_Tables_number 26
loop_
_symmetry_equiv_pos_as_xyz
'x,y,z'
'-x,-y,z+1/2'
'-x,y,z'
'x,-y,z+1/2'
loop_
_atom_site_label
_atom_site_type_symbol
_atom_site_fract_x
_atom_site_fract_y
_atom_site_fract_z
_atom_site_occupancy
Na1 Na 0.000 0.103 0.000 1
Na2 Na 0.500 0.393 0.491 1
Zr1 Zr 0.000 0.139 0.675 1
Zr2 Zr 0.000 0.357 0.166 1
Sc1 Sc 0.500 0.141 0.322 1
Sc2 Sc 0.500 0.362 0.817 1
O1 O 0.000 0.031 0.262 1
O2 O 0.000 0.264 0.358 1
O3 O 0.000 0.323 0.674 1
O4 O 0.000 0.405 0.955 1
O5 O 0.500 0.095 0.538 1
O6 O 0.500 0.174 0.817 1
O7 O 0.500 0.235 0.126 1
O8 O 0.500 0.465 0.227 1
# Raw total energy in eV for the cell shown: -239.98
# Total magnetic moment in μB per formula unit: 0.00
# Raw formation energy in eV per atom: -3.1291

=====

# NaSeO3, optimized geometry, DFT PBEsol
data_NaSeO3
_chemical_formula_sum 'Na16 Se16 O48'
_cell_length_a 23.424
_cell_length_b 5.837
_cell_length_c 9.294
_cell_angle_alpha 90.00
_cell_angle_beta 92.45
_cell_angle_gamma 90.00
_symmetry_space_group_name_H-M 'C 1 2/c 1'
_symmetry_Int_Tables_number 15
loop_
_symmetry_equiv_pos_as_xyz
'x,y,z'
'-x,-y,-z'
'-x,y,-z+1/2'
'x,-y,z+1/2'
'x+1/2,y+1/2,z'
'-x+1/2,-y+1/2,-z'
'-x+1/2,y+1/2,-z+1/2'
'x+1/2,-y+1/2,z+1/2'
loop_
_atom_site_label
_atom_site_type_symbol
_atom_site_fract_x
_atom_site_fract_y
_atom_site_fract_z
_atom_site_occupancy
Na1 Na 0.126 0.142 0.377 1
Na2 Na 0.225 0.110 0.671 1
Se1 Se 0.041 0.140 0.078 1
Se2 Se 0.169 0.364 0.029 1
O1 O 0.028 0.067 0.896 1
O2 O 0.094 0.032 0.628 1
O3 O 0.098 0.412 0.011 1
O4 O 0.188 0.279 0.195 1
O5 O 0.189 0.168 0.912 1
O6 O 0.198 0.382 0.498 1
# Raw total energy in eV for the cell shown: -424.63
# Total magnetic moment in μB per formula unit: 0.00
# Raw formation energy in eV per atom: -1.1084

=====

# NaSeO3, optimized geometry, DFT PBEsol
data_NaSeO3
_chemical_formula_sum 'Na1 Se1 O3'
_cell_length_a 3.783
_cell_length_b 3.783
_cell_length_c 3.783
_cell_angle_alpha 90.00
_cell_angle_beta 90.00
_cell_angle_gamma 90.00
_symmetry_space_group_name_H-M 'P m -3 m'
_symmetry_Int_Tables_number 221
_symmetry_space_group_name_Hall '-P 4 2 3'
loop_
_atom_site_label
_atom_site_type_symbol
_atom_site_fract_x
_atom_site_fract_y
_atom_site_fract_z
_atom_site_occupancy
Na1 Na 0.000 0.000 0.000 1
Se1 Se 0.500 0.500 0.500 1
O1 O 0.000 0.500 0.500 1
# Raw total energy in eV for the cell shown: -25.01
# Total magnetic moment in μB per formula unit: 0.00
# Raw formation energy in eV per atom: -0.8032

=====

# Na2Se2O7, optimized geometry, DFT PBEsol
data_Na2Se2O7
_chemical_formula_sum 'Na4 Se4 O14'
_cell_length_a 7.000
_cell_length_b 7.007
_cell_length_c 7.105
_cell_angle_alpha 82.68
_cell_angle_beta 65.54
_cell_angle_gamma 82.03
_symmetry_space_group_name_H-M 'P -1'
_symmetry_Int_Tables_number 2
loop_
_symmetry_equiv_pos_as_xyz
'x,y,z'
'-x,-y,-z'
loop_
_atom_site_label
_atom_site_type_symbol
_atom_site_fract_x
_atom_site_fract_y
_atom_site_fract_z
_atom_site_occupancy
Na1 Na 0.232 0.351 0.394 1
Na2 Na 0.241 0.926 0.765 1
Se1 Se 0.253 0.860 0.279 1
Se2 Se 0.302 0.401 0.864 1
O1 O 0.134 0.687 0.448 1
O2 O 0.134 0.967 0.133 1
O3 O 0.138 0.418 0.105 1
O4 O 0.246 0.270 0.723 1
O5 O 0.334 0.009 0.387 1
O6 O 0.402 0.602 0.740 1
O7 O 0.483 0.747 0.083 1
# Raw total energy in eV for the cell shown: -117.48
# Total magnetic moment in μB per formula unit: 0.00
# Raw formation energy in eV per atom: -1.0450

=====

# Na4SeO5, optimized geometry, DFT PBEsol
data_Na4SeO5
_chemical_formula_sum 'Na16 Se4 O20'
_cell_length_a 5.600
_cell_length_b 9.870
_cell_length_c 9.882
_cell_angle_alpha 113.34
_cell_angle_beta 96.23
_cell_angle_gamma 95.76
_symmetry_space_group_name_H-M 'P -1'
_symmetry_Int_Tables_number 2
loop_
_symmetry_equiv_pos_as_xyz
'x,y,z'
'-x,-y,-z'
loop_
_atom_site_label
_atom_site_type_symbol
_atom_site_fract_x
_atom_site_fract_y
_atom_site_fract_z
_atom_site_occupancy
Na1 Na 0.000 0.000 0.000 1
Na2 Na 0.001 0.398 0.601 1
Na3 Na 0.006 0.807 0.202 1
Na4 Na 0.242 0.552 0.937 1
Na5 Na 0.253 0.943 0.545 1
Na6 Na 0.268 0.358 0.155 1
Na7 Na 0.278 0.166 0.362 1
Na8 Na 0.495 0.901 0.095 1
Na9 Na 0.500 0.500 0.500 1
Se1 Se 0.215 0.779 0.755 1
Se2 Se 0.484 0.295 0.733 1
O1 O 0.051 0.351 0.342 1
O2 O 0.118 0.947 0.772 1
O3 O 0.136 0.774 0.926 1
O4 O 0.209 0.608 0.191 1
O5 O 0.212 0.191 0.602 1
O6 O 0.327 0.728 0.583 1
O7 O 0.381 0.318 0.898 1
O8 O 0.398 0.877 0.317 1
O9 O 0.411 0.455 0.708 1
O10 O 0.477 0.157 0.152 1
# Raw total energy in eV for the cell shown: -197.33
# Total magnetic moment in μB per formula unit: 0.00
# Raw formation energy in eV per atom: -1.3635